[1]
# GGA-PBE InIr3N, relaxed
data_InIr3N
_space_group_name_H-M_alt 'P m -3 m'
_space_group_IT_number 221
_space_group_name_Hall '-P 4 2 3'
_cell_length_a 4.164
_cell_length_b 4.164
_cell_length_c 4.164
_cell_angle_alpha 90.00
_cell_angle_beta 90.00
_cell_angle_gamma 90.00
loop_
_atom_site_label
_atom_site_fract_x
_atom_site_fract_y
_atom_site_fract_z
In1 0.000 0.000 0.000
Ir1 0.000 0.500 0.500
N1 0.500 0.500 0.500
# **Electronic total energy**: -6.990 eV per atom

[2]
# GGA-PBE Nd2MgCd3Pt2, relaxed
data_Nd2MgCd3Pt2
_space_group_name_H-M_alt 'C 1 m 1'
_space_group_IT_number 8
_cell_length_a 10.169
_cell_length_b 4.259
_cell_length_c 8.502
_cell_angle_alpha 90.00
_cell_angle_beta 90.05
_cell_angle_gamma 90.00
loop_
_space_group_symop_operation_xyz
'x,y,z'
'x,-y,z'
'x+1/2,y+1/2,z'
'x+1/2,-y+1/2,z'
loop_
_atom_site_label
_atom_site_fract_x
_atom_site_fract_y
_atom_site_fract_z
Nd1 0.000 0.000 0.000
Nd2 0.131 0.000 0.494
Mg1 0.409 0.000 0.698
Cd1 0.200 0.500 0.797
Cd2 0.210 0.500 0.201
Cd3 0.425 0.000 0.299
Pt1 0.295 0.000 0.994
Pt2 0.342 0.500 0.508
# **Electronic total energy**: -3.910 eV per atom

[3]
# GGA-PBE RbTmU, relaxed
data_RbTmU
_space_group_name_H-M_alt 'F -4 3 m'
_space_group_IT_number 216
_space_group_name_Hall 'F -4 2 3'
_cell_length_a 8.334
_cell_length_b 8.334
_cell_length_c 8.334
_cell_angle_alpha 90.00
_cell_angle_beta 90.00
_cell_angle_gamma 90.00
loop_
_atom_site_label
_atom_site_fract_x
_atom_site_fract_y
_atom_site_fract_z
Rb1 0.000 0.000 0.000
Tm1 0.250 0.250 0.250
U1 0.000 0.000 0.500
# **Electronic total energy**: -3.624 eV per atom

Please write out number 2 again, unchanged.
# GGA-PBE Nd2MgCd3Pt2, relaxed
data_Nd2MgCd3Pt2
_space_group_name_H-M_alt 'C 1 m 1'
_space_group_IT_number 8
_cell_length_a 10.169
_cell_length_b 4.259
_cell_length_c 8.502
_cell_angle_alpha 90.00
_cell_angle_beta 90.05
_cell_angle_gamma 90.00
loop_
_space_group_symop_operation_xyz
'x,y,z'
'x,-y,z'
'x+1/2,y+1/2,z'
'x+1/2,-y+1/2,z'
loop_
_atom_site_label
_atom_site_fract_x
_atom_site_fract_y
_atom_site_fract_z
Nd1 0.000 0.000 0.000
Nd2 0.131 0.000 0.494
Mg1 0.409 0.000 0.698
Cd1 0.200 0.500 0.797
Cd2 0.210 0.500 0.201
Cd3 0.425 0.000 0.299
Pt1 0.295 0.000 0.994
Pt2 0.342 0.500 0.508
# **Electronic total energy**: -3.910 eV per atom